Here is an optimized crystal structure of ScCo3 from the Open Quantum Materials Database. Energies are from GGA-PBE.

Cell: 3.684 3.684 7.564 Å, 90.00 90.00 90.00°
Space group I4/mmm (No. 139)
Asymmetric unit:
Sc 0.000 0.000 0.000 (multiplicity 2)
Co 0.000 0.000 0.500 (multiplicity 2)
Co 0.000 0.500 0.250 (multiplicity 4)

## Properties
E: -54.8 eV for the cell shown
E_form: 0.056 eV per atom